This record from the Alexandria database describes ThScCd2 after structural relaxation. The functional is PBE.

Computed properties:
- total DFT energy (no corrections) (eV per atom) = -4.03
- calculated formation energy (meV/atom) = -131
- polymorph energy (0 for the lowest one) (eV/atom) = 0.064
- N(E_F) (states/eV per atom) = 1.292

Unit cell a=7.4407 b=7.4407 c=7.4407 alpha=90.00 beta=90.00 gamma=90.00
Closest atoms and distances in Å follow each position.
Space group Fm-3m (No. 225)
One atom of each set of equivalent atoms:
Th (0.0000, 0.0000, 0.0000)  8 Cd 3.22
Sc (0.0000, 0.0000, 0.5000)  8 Cd 3.22
Cd (0.2500, 0.2500, 0.2500)  4 Th 3.22, 4 Sc 3.22